Computed, not measured: crystalline TaReN2 at its relaxed geometry at the PBE-GGA level of DFT.

abc: 4.262 4.262 6.304
angles: 70.25 70.25 90.00
Fractional coordinates of all 8 atoms:
Re1 0.000 0.000 0.000
Re2 0.750 0.250 0.500
N1 0.640 0.125 0.250
N2 0.110 0.625 0.250
N3 0.375 0.360 0.750
N4 0.875 0.890 0.750
Ta1 0.500 0.500 0.000
Ta2 0.250 0.750 0.500

Values from the calculation:
Crystal system   tetragonal
Raw formation energy   -138 meV per atom